No. 1
Pm6TmS8: optimized geometry, GGA-PBE.

Geometry as POSCAR:
```
Pm6TmS8
1.0
0.000 5.672 5.672
5.672 0.000 5.672
5.672 5.672 0.000
Pm S Tm
6 8 1
Direct
0.500 0.000 0.000 Pm
0.000 0.500 0.000 Pm
0.500 0.500 0.000 Pm
0.000 0.000 0.500 Pm
0.500 0.000 0.500 Pm
0.000 0.500 0.500 Pm
0.242 0.758 0.242 S
0.758 0.758 0.242 S
0.758 0.242 0.242 S
0.250 0.250 0.250 S
0.750 0.750 0.750 S
0.758 0.242 0.758 S
0.242 0.242 0.758 S
0.242 0.758 0.758 S
0.000 0.000 0.000 Tm
```

***

No. 2
ZrNiB: optimized geometry, GGA-PBE.

Geometry as POSCAR:
```
ZrNiB
1.0
-2.371 3.243 2.392
2.371 -3.243 2.392
2.371 3.243 -2.392
B Ni Zr
2 2 2
Direct
0.340 0.342 0.498 B
0.844 0.842 0.502 B
0.328 0.328 0.000 Ni
0.328 0.828 0.500 Ni
0.707 0.080 0.127 Zr
0.953 0.580 0.873 Zr
```

***

E_tot (computed, eV per atom): -6.467; -7.070